No. 1
Crystalline Li6Ag12Bi at its relaxed geometry. Source: Alexandria, functional GGA-PBE.

Results
**Energy relative to the elements**: -0.098 eV/atom
**SG**: No. 148

Structure (CIF):
```
data_Li6Ag12Bi
_chemical_formula_sum 'Li6 Ag12 Bi1'
_space_group_name_H-M_alt 'P 1'
_space_group_IT_number 1
_space_group_name_Hall 'P 1'
_cell_length_a 6.9884
_cell_length_b 6.9884
_cell_length_c 6.9884
_cell_angle_alpha 88.97
_cell_angle_beta 88.97
_cell_angle_gamma 88.97
loop_
_atom_site_label
_atom_site_type_symbol
_atom_site_fract_x
_atom_site_fract_y
_atom_site_fract_z
Li1 Li 0.2171 0.7699 0.6174
Li2 Li 0.2301 0.3826 0.7829
Li3 Li 0.3826 0.7829 0.2301
Li4 Li 0.6174 0.2171 0.7699
Li5 Li 0.7699 0.6174 0.2171
Li6 Li 0.7829 0.2301 0.3826
Ag1 Ag 0.0232 0.9341 0.3021
Ag2 Ag 0.0659 0.6979 0.9768
Ag3 Ag 0.1168 0.4732 0.3324
Ag4 Ag 0.3021 0.0232 0.9341
Ag5 Ag 0.3324 0.1168 0.4732
Ag6 Ag 0.4732 0.3324 0.1168
Ag7 Ag 0.5268 0.6676 0.8832
Ag8 Ag 0.6676 0.8832 0.5268
Ag9 Ag 0.6979 0.9768 0.0659
Ag10 Ag 0.8832 0.5268 0.6676
Ag11 Ag 0.9341 0.3021 0.0232
Ag12 Ag 0.9768 0.0659 0.6979
Bi1 Bi 0.5000 0.5000 0.5000
```



No. 2
Crystalline DyEr2PuAs4 at its relaxed geometry. Source: Alexandria, functional GGA-PBE.

Results
**Energy relative to the elements**: -1.389 eV/atom
**SG**: No. 10

Structure (CIF):
```
data_DyEr2PuAs4
_chemical_formula_sum 'Dy1 Er2 Pu1 As4'
_space_group_name_H-M_alt 'P 1'
_space_group_IT_number 1
_space_group_name_Hall 'P 1'
_cell_length_a 7.0982
_cell_length_b 4.1110
_cell_length_c 7.1019
_cell_angle_alpha 90.00
_cell_angle_beta 109.47
_cell_angle_gamma 90.00
loop_
_atom_site_label
_atom_site_type_symbol
_atom_site_fract_x
_atom_site_fract_y
_atom_site_fract_z
Dy1 Dy 0.0000 0.0000 0.0000
Er1 Er 0.5000 0.0000 0.5000
Er2 Er 0.5000 0.5000 0.0000
Pu1 Pu 0.0000 0.5000 0.5000
As1 As 0.2514 0.0000 0.7498
As2 As 0.2519 0.5000 0.2513
As3 As 0.7481 0.5000 0.7487
As4 As 0.7486 0.0000 0.2502
```



No. 3
Crystalline NaSr2Pd at its relaxed geometry. Source: Alexandria, functional GGA-PBE.

Results
**E above lowest polymorph**: 139 meV/atom
**Energy relative to the elements**: -0.201 eV/atom
**SG**: No. 225

Structure (CIF):
```
data_NaSr2Pd
_chemical_formula_sum 'Na1 Sr2 Pd1'
_space_group_name_H-M_alt 'P 1'
_space_group_IT_number 1
_space_group_name_Hall 'P 1'
_cell_length_a 5.6393
_cell_length_b 5.6393
_cell_length_c 5.6393
_cell_angle_alpha 60.00
_cell_angle_beta 60.00
_cell_angle_gamma 60.00
loop_
_atom_site_label
_atom_site_type_symbol
_atom_site_fract_x
_atom_site_fract_y
_atom_site_fract_z
Na1 Na 0.0000 0.0000 0.0000
Sr1 Sr 0.2500 0.2500 0.2500
Sr2 Sr 0.7500 0.7500 0.7500
Pd1 Pd 0.5000 0.5000 0.5000
```



No. 4
Crystalline KRbAu4 at its relaxed geometry. Source: Alexandria, functional GGA-PBE.

Results
**E above lowest polymorph**: 0 meV/atom
**Energy relative to the elements**: -0.256 eV/atom
**SG**: No. 216

Structure (CIF):
```
data_KRbAu4
_chemical_formula_sum 'K1 Rb1 Au4'
_space_group_name_H-M_alt 'P 1'
_space_group_IT_number 1
_space_group_name_Hall 'P 1'
_cell_length_a 5.8961
_cell_length_b 5.8961
_cell_length_c 5.8961
_cell_angle_alpha 60.00
_cell_angle_beta 60.00
_cell_angle_gamma 60.00
loop_
_atom_site_label
_atom_site_type_symbol
_atom_site_fract_x
_atom_site_fract_y
_atom_site_fract_z
K1 K 0.0000 0.0000 0.0000
Rb1 Rb 0.2500 0.2500 0.2500
Au1 Au 0.1244 0.6252 0.6252
Au2 Au 0.6252 0.1244 0.6252
Au3 Au 0.6252 0.6252 0.1244
Au4 Au 0.6252 0.6252 0.6252
```



Q: Among the records above, which one has the lowest energy relative to the elements?
A: DyEr2PuAs4



Q: Look up the energy relative to the elements of the third one.
A: -0.201 eV/atom



Q: energy relative to the elements of number 3 (NaSr2Pd)?
A: -0.201 eV/atom



Q: Which of these has the highest energy relative to the elements?
A: Li6Ag12Bi